*a*
! TbInBi2 GGA-PBE relaxed; values from VASP
! Magnetization: 0.00 μB/cell
&SYSTEM
  ibrav = 0, nat = 4, ntyp = 3
/
ATOMIC_SPECIES
Tb 158.93 Tb.upf
In 114.82 In.upf
Bi 208.98 Bi.upf
CELL_PARAMETERS angstrom
4.739 0.000 0.000
2.370 4.104 0.000
2.370 1.368 6.939
ATOMIC_POSITIONS crystal
Tb 0.666 0.666 0.003
In 0.497 0.497 0.508
Bi 0.080 0.080 0.760
Bi 0.257 0.257 0.230

*b*
! TbInBi2 GGA-PBE relaxed; values from VASP
! Magnetization: 0.00 μB/cell
&SYSTEM
  ibrav = 0, nat = 4, ntyp = 3
/
ATOMIC_SPECIES
Tb 158.93 Tb.upf
Bi 208.98 Bi.upf
In 114.82 In.upf
CELL_PARAMETERS angstrom
-2.722 -3.093 0.884
3.216 -2.641 0.664
0.105 1.747 6.438
ATOMIC_POSITIONS crystal
Tb 0.500 0.500 0.000
Bi 0.000 0.000 0.761
Bi 0.000 0.000 0.239
In 0.500 0.500 0.500

Most favorable structure: *b*. The second most favorable one is 181 meV/atom above it.

*a*
! TbInBi2 GGA-PBE relaxed; values from VASP
! Magnetization: 0.00 μB/cell
&SYSTEM
  ibrav = 0, nat = 8, ntyp = 3
/
ATOMIC_SPECIES
Tb 158.93 Tb.upf
In 114.82 In.upf
Bi 208.98 Bi.upf
CELL_PARAMETERS angstrom
-2.196 -4.653 2.632
1.634 0.078 -4.843
9.435 -2.676 3.139
ATOMIC_POSITIONS crystal
Tb 0.873 0.746 0.250
Tb 0.127 0.254 0.750
In 0.509 0.017 0.250
In 0.491 0.983 0.750
Bi 0.799 0.599 0.570
Bi 0.201 0.401 0.070
Bi 0.201 0.401 0.430
Bi 0.799 0.599 0.930

*b*
! TbInBi2 GGA-PBE relaxed; values from VASP
! Magnetization: 0.00 μB/cell
&SYSTEM
  ibrav = 0, nat = 4, ntyp = 3
/
ATOMIC_SPECIES
Tb 158.93 Tb.upf
Bi 208.98 Bi.upf
In 114.82 In.upf
CELL_PARAMETERS angstrom
4.946 0.000 0.000
2.473 4.283 0.000
2.473 1.428 8.542
ATOMIC_POSITIONS crystal
Tb 0.500 0.500 0.500
Bi 0.110 0.110 0.669
Bi 0.890 0.890 0.331
In 0.000 0.000 0.000

Most favorable structure: *a*. The second most favorable one is 218 meV/atom above it.